# PBE Y2BF, optimized geometry
# uncorrected formation energy	-955.6	meV per atom
# density of states at the Fermi level	6.2	states/eV/cell
data_Y2BF
_chemical_formula_sum 'Y8 B4 F4'
_space_group_name_H-M_alt 'F m -3 m'
_space_group_IT_number 225
_space_group_name_Hall '-F 4 2 3'
_cell_length_a 6.464
_cell_length_b 6.464
_cell_length_c 6.464
_cell_angle_alpha 90.00
_cell_angle_beta 90.00
_cell_angle_gamma 90.00
loop_
_atom_site_label
_atom_site_type_symbol
_atom_site_fract_x
_atom_site_fract_y
_atom_site_fract_z
Y1 Y 0.250 0.250 0.250
B1 B 0.000 0.000 0.000
F1 F 0.000 0.000 0.500